Entry 1:
CoTc2: relaxed, GGA-PBE.

As for the energy of formation from the pure elements: 0.013 eV/atom. The calculation puts the excess energy over the best structure of this formula in the dataset at 0 meV/atom.

a b c (Å): 5.847 5.847 4.661
angles (deg): 90.00 90.00 90.00
Space group I4/mcm (No. 140)
Unique sites:
Co 0.000 0.000 0.250 [4 per cell]
Tc 0.149 0.351 0.000 [8 per cell]



Entry 2:
BaZn: relaxed, GGA-PBE.

As for the energy of formation from the pure elements: -0.071 eV/atom.

a b c (Å): 4.270 12.480 8.444
angles (deg): 90.00 90.00 90.00
Space group Imm2 (No. 44)
Unique sites:
Ba 0.000 0.000 0.000 [2 per cell]
Ba 0.000 0.317 0.136 [4 per cell]
Zn 0.000 0.000 0.416 [2 per cell]
Zn 0.000 0.391 0.761 [4 per cell]



Entry 3:
La2Y3Rh2: relaxed, GGA-PBE.

As for the energy of formation from the pure elements: -0.547 eV/atom.

a b c (Å): 12.371 3.816 9.223
angles (deg): 90.00 115.44 90.00
Space group C2/m (No. 12)
Unique sites:
La 0.168 0.000 0.305 [4 per cell]
Y 0.000 0.500 0.500 [2 per cell]
Y 0.118 0.500 0.924 [4 per cell]
Rh 0.178 0.000 0.742 [4 per cell]



Entry 4:
CuRhCl2: relaxed, GGA-PBE.

The calculation puts the excess energy over the best structure of this formula in the dataset at 325 meV/atom. The value obtained for the formation energy without anion corrections is 146 meV per atom.

a b c (Å): 6.574 7.160 3.207
angles (deg): 90.00 90.17 90.00
Space group C2/m (No. 12)
Unique sites:
Cu 0.000 0.000 0.000 [2 per cell]
Rh 0.000 0.500 0.000 [2 per cell]
Cl 0.250 0.250 0.000 [4 per cell]



Entry 5:
Ge2BAs: relaxed, GGA-PBE.

As for the energy of formation from the pure elements: 0.066 eV/atom. The calculation puts the excess energy over the best structure of this formula in the dataset at 0 meV/atom.

a b c (Å): 5.295 5.295 10.457
angles (deg): 90.00 90.00 90.00
Space group I-42d (No. 122)
Unique sites:
Ge 0.186 0.250 0.125 [8 per cell]
B 0.000 0.000 0.000 [4 per cell]
As 0.000 0.000 0.500 [4 per cell]



Entry 6:
BaCrAg4: relaxed, GGA-PBE.

As for the energy of formation from the pure elements: 0.171 eV/atom.

a b c (Å): 8.188 8.188 8.188
angles (deg): 90.00 90.00 90.00
Space group F-43m (No. 216)
Unique sites:
Ba 0.000 0.000 0.000 [4 per cell]
Cr 0.250 0.250 0.750 [4 per cell]
Ag 0.124 0.124 0.376 [16 per cell]



Entry 7:
ThAg2Bi: relaxed, GGA-PBE.

As for the energy of formation from the pure elements: -0.123 eV/atom. The calculation puts the excess energy over the best structure of this formula in the dataset at 47 meV/atom.

a b c (Å): 7.355 7.355 7.355
angles (deg): 90.00 90.00 90.00
Space group Fm-3m (No. 225)
Unique sites:
Th 0.000 0.000 0.000 [4 per cell]
Ag 0.250 0.250 0.250 [8 per cell]
Bi 0.000 0.000 0.500 [4 per cell]



Entry 8:
Sr2NdPaN4: relaxed, GGA-PBE.

The value obtained for the formation energy without anion corrections is -1286 meV per atom.

a b c (Å): 6.313 3.675 6.403
angles (deg): 90.00 109.13 90.00
Space group P2/m (No. 10)
Unique sites:
Sr 0.000 0.000 0.000 [1 per cell]
Sr 0.500 0.500 0.000 [1 per cell]
Nd 0.000 0.500 0.500 [1 per cell]
Pa 0.500 0.000 0.500 [1 per cell]
N 0.265 0.000 0.706 [2 per cell]
N 0.281 0.500 0.293 [2 per cell]



Entry 9:
PrSnHgBi: relaxed, GGA-PBE.

As for the energy of formation from the pure elements: -0.471 eV/atom. The calculation puts the excess energy over the best structure of this formula in the dataset at 0 meV/atom.

a b c (Å): 4.692 4.851 4.942
angles (deg): 90.00 90.00 90.00
Space group Pmmm (No. 47)
Unique sites:
Pr 0.000 0.000 0.000 [1 per cell]
Sn 0.500 0.000 0.500 [1 per cell]
Hg 0.000 0.500 0.500 [1 per cell]
Bi 0.500 0.500 0.000 [1 per cell]



Entry 10:
Ho6Cd3Co: relaxed, GGA-PBE.

As for the energy of formation from the pure elements: -0.164 eV/atom. The calculation puts the excess energy over the best structure of this formula in the dataset at 32 meV/atom.

a b c (Å): 9.056 11.140 5.144
angles (deg): 90.00 90.00 90.00
Space group Pnnm (No. 58)
Unique sites:
Ho 0.018 0.230 0.000 [4 per cell]
Ho 0.154 0.076 0.500 [4 per cell]
Ho 0.196 0.413 0.500 [4 per cell]
Cd 0.000 0.500 0.000 [2 per cell]
Cd 0.149 0.720 0.500 [4 per cell]
Co 0.000 0.000 0.000 [2 per cell]